The following is a PBE calculation of Mg3WS after structural relaxation, from Alexandria. Values from VASP.

Quantum ESPRESSO input file:
```
&SYSTEM
  ibrav = 0, nat = 5, ntyp = 3
/
ATOMIC_SPECIES
Mg 24.30 Mg.upf
W 183.84 W.upf
S 32.06 S.upf
CELL_PARAMETERS angstrom
5.2931 0.0000 0.0000
0.0000 5.2931 0.0000
0.0000 0.0000 5.2931
ATOMIC_POSITIONS angstrom
Mg 0.0000 0.0000 2.6466
Mg 0.0000 2.6466 0.0000
Mg 2.6466 0.0000 0.0000
W 0.0000 0.0000 0.0000
S 2.6466 2.6466 2.6466
```

final energy = -0.110 Ha/atom
ΔE_f (raw) = 1.371 eV/atom